Computed, not measured: a geometry-optimized RbTl2S structure at the PBE level of DFT. Values from VASP.

## Properties
The formation energy from raw total energies is -0.9 eV per formula unit. The value obtained for the distance to the lowest polymorph of the same formula is 143 meV/atom. The size of the total moment comes out at 0.00 μB/f.u. The symmetry is R-3m. For the final energy, the calculation gives -10.7 eV per cell.

Quantum ESPRESSO input file:
```
&SYSTEM
  ibrav = 0, nat = 4, ntyp = 3
/
ATOMIC_SPECIES
Rb 85.47 Rb.upf
Tl 204.38 Tl.upf
S 32.06 S.upf
CELL_PARAMETERS angstrom
2.168 1.252 11.019
-2.168 1.252 11.019
0.000 -2.504 11.019
ATOMIC_POSITIONS crystal
Rb 0.000 0.000 0.000
Tl 0.118 0.118 0.118
Tl 0.882 0.882 0.882
S 0.500 0.500 0.500
```